# BaAgS2 PBE relaxed
# Formation energy (no corrections)   -0.7724 eV per atom
# Total DFT energy (no corrections)   -16.12 eV/f.u.
data_BaAgS2
_symmetry_space_group_name_H-M 'I -4 2 d'
_symmetry_Int_Tables_number 122
_symmetry_space_group_name_Hall 'I -4 2bw'
_cell_length_a 5.842
_cell_length_b 5.842
_cell_length_c 14.576
_cell_angle_alpha 90.00
_cell_angle_beta 90.00
_cell_angle_gamma 90.00
loop_
_atom_site_label
_atom_site_fract_x
_atom_site_fract_y
_atom_site_fract_z
_atom_site_occupancy
Ba1 0.000 0.000 0.000 1
Ag1 0.000 0.000 0.500 1
S1 0.160 0.250 0.625 1

***

# TaMnOs2 PBE relaxed
# ΔH_f (0 K)   0.135 eV per atom
# Total DFT energy (no corrections)   -42.94 eV/f.u.
data_TaMnOs2
_symmetry_space_group_name_H-M 'R -3 m'
_symmetry_Int_Tables_number 166
_symmetry_space_group_name_Hall '-R 3 2"'
_cell_length_a 2.7538
_cell_length_b 2.7538
_cell_length_c 26.8876
_cell_angle_alpha 90.00
_cell_angle_beta 90.00
_cell_angle_gamma 120.00
loop_
_atom_site_label
_atom_site_fract_x
_atom_site_fract_y
_atom_site_fract_z
_atom_site_occupancy
Ta1 0.0000 0.0000 0.0000 1
Mn1 0.0000 0.0000 0.5000 1
Os1 0.0000 0.0000 0.2431 1

***

# ZrTlPd3 PBE relaxed
# ΔH_f (0 K)   0.482 eV per atom
# Total DFT energy (no corrections)   -24.08 eV/f.u.
data_ZrTlPd3
_symmetry_space_group_name_H-M 'P m -3 m'
_symmetry_Int_Tables_number 221
_symmetry_space_group_name_Hall '-P 4 2 3'
_cell_length_a 5.005
_cell_length_b 5.005
_cell_length_c 5.005
_cell_angle_alpha 90.00
_cell_angle_beta 90.00
_cell_angle_gamma 90.00
loop_
_atom_site_label
_atom_site_fract_x
_atom_site_fract_y
_atom_site_fract_z
_atom_site_occupancy
Zr1 0.000 0.000 0.000 1
Tl1 0.500 0.500 0.500 1
Pd1 0.000 0.000 0.500 1

***

Calculated volume values (in Å³ per cell) by entry order: 497, 177, 125.